one) The following is a PBE-GGA calculation of a relaxed structure of CaCrRh2, from Alexandria via LeMat-Bulk.

abc: 5.2683 5.2683 4.7662
angles: 72.07 72.07 32.44
Last column: magnetic moment on the atom in μB.
Atoms (fractional coordinates):
Rh  0.0043  0.0043  0.0642  -0.10
Rh  0.7336  0.7336  0.7013  -0.09
Ca  0.4906  0.4906  0.5602  0.01
Cr  0.2714  0.2714  0.1743  3.13

Calculated values
- Magnetization: 3.3 μB/cell
- Mass density: 7.36 g/cm³

=====

two) The following is a PBE-GGA calculation of a relaxed structure of CaCrRh2, from Alexandria via LeMat-Bulk.

abc: 3.7257 3.7257 7.1522
angles: 86.39 86.39 44.86
Last column: magnetic moment on the atom in μB.
Atoms (fractional coordinates):
Ca  0.7500  0.7500  0.7500  0.00
Rh  0.4990  0.4990  0.4436  -0.01
Rh  0.0010  0.0010  0.0564  -0.01
Cr  0.2500  0.2500  0.2500  0.44

Calculated values
- Magnetization: 0.5 μB/cell
- Mass density: 7.08 g/cm³

=====

Which of them is the most stable? Correct choice: one).

=====

one) The following is a PBE-GGA calculation of a relaxed structure of Ca2CrRh, from Alexandria via LeMat-Bulk.

abc: 10.4068 10.4068 7.7316
angles: 47.70 47.70 90.00
Last column: magnetic moment on the atom in μB.
Atoms (fractional coordinates):
Ca  0.8750  0.0373  0.7500  0.01
Ca  0.9627  0.6250  0.2500  0.01
Ca  0.7873  0.1250  0.2500  0.01
Ca  0.3750  0.2127  0.7500  0.01
Cr  0.2500  0.7500  0.5000  3.50
Cr  0.5000  0.5000  0.0000  3.50
Rh  0.0000  0.0000  0.0000  -0.09
Rh  0.7500  0.2500  0.5000  -0.09

Calculated values
- Magnetization: 7.8 μB/cell
- Mass density: 3.04 g/cm³

=====

two) The following is a PBE-GGA calculation of a relaxed structure of Ca2CrRh, from Alexandria via LeMat-Bulk.

abc: 9.6616 9.6616 9.6616
angles: 20.71 20.71 20.71
Last column: magnetic moment on the atom in μB.
Atoms (fractional coordinates):
Ca  0.4874  0.4874  0.4874  0.00
Ca  0.0126  0.0126  0.0126  0.00
Rh  0.7500  0.7500  0.7500  0.02
Cr  0.2500  0.2500  0.2500  3.97

Calculated values
- Magnetization: 4.7 μB/cell
- Mass density: 3.95 g/cm³

=====

three) The following is a PBE-GGA calculation of a relaxed structure of Ca2CrRh, from Alexandria via LeMat-Bulk.

abc: 5.0358 5.0358 5.0979
angles: 121.20 121.22 87.27
Last column: magnetic moment on the atom in μB.
Atoms (fractional coordinates):
Ca  0.0000  0.9999  0.0000  0.04
Ca  0.5000  0.5001  0.0000  0.04
Rh  0.7500  0.2500  0.5000  0.06
Cr  0.2500  0.7500  0.5000  3.94

Calculated values
- Magnetization: 4.8 μB/cell
- Mass density: 4.33 g/cm³

=====

four) The following is a PBE-GGA calculation of a relaxed structure of Ca2CrRh, from Alexandria via LeMat-Bulk.

abc: 3.4684 3.4712 7.7816
angles: 90.00 90.00 90.00
Last column: magnetic moment on the atom in μB.
Atoms (fractional coordinates):
Rh  0.5000  0.5000  0.7500  0.07
Ca  0.0000  0.0000  0.9644  0.01
Ca  0.0000  0.0000  0.5356  0.01
Cr  0.5000  0.5000  0.2500  3.94

Calculated values
- Magnetization: 4.7 μB/cell
- Mass density: 4.17 g/cm³

=====

Which of them is the most stable? Correct choice: three).

=====

one) The following is a PBE-GGA calculation of a relaxed structure of Ca2CrRh, from Alexandria via LeMat-Bulk.

abc: 6.2178 6.2178 5.1034
angles: 65.72 65.72 31.92
Last column: magnetic moment on the atom in μB.
Atoms (fractional coordinates):
Ca  0.9597  0.9597  0.0401  0.04
Ca  0.7571  0.7571  0.7431  0.00
Rh  0.2276  0.2276  0.2728  0.11
Cr  0.5557  0.5557  0.4441  3.44

Calculated values
- Magnetization: 4.1 μB/cell
- Mass density: 4.14 g/cm³

=====

two) The following is a PBE-GGA calculation of a relaxed structure of Ca2CrRh, from Alexandria via LeMat-Bulk.

abc: 5.4585 5.4585 5.4585
angles: 131.93 131.93 70.34
Last column: magnetic moment on the atom in μB.
Atoms (fractional coordinates):
Ca  0.0000  0.0000  0.0000  0.02
Ca  0.2500  0.7500  0.5000  0.05
Cr  0.5000  0.5000  0.0000  3.81
Rh  0.7500  0.2500  0.5000  0.19

Calculated values
- Magnetization: 4.7 μB/cell
- Mass density: 4.42 g/cm³

=====

three) The following is a PBE-GGA calculation of a relaxed structure of Ca2CrRh, from Alexandria via LeMat-Bulk.

abc: 4.2214 4.4327 5.8876
angles: 67.86 90.00 90.00
Last column: magnetic moment on the atom in μB.
Atoms (fractional coordinates):
Ca  0.5000  0.2694  0.3364  0.04
Ca  0.0000  0.9812  0.9124  0.05
Rh  0.5000  0.5688  0.7371  0.07
Cr  0.0000  0.6805  0.5141  3.42

Calculated values
- Magnetization: 4.4 μB/cell
- Mass density: 3.82 g/cm³

=====

four) The following is a PBE-GGA calculation of a relaxed structure of Ca2CrRh, from Alexandria via LeMat-Bulk.

abc: 4.7418 4.7418 3.9942
angles: 90.00 90.00 90.00
Last column: magnetic moment on the atom in μB.
Atoms (fractional coordinates):
Cr  0.5000  0.0000  0.5000  3.87
Rh  0.0000  0.5000  0.5000  0.05
Ca  0.5000  0.5000  0.0000  0.04
Ca  0.0000  0.0000  0.0000  0.04

Calculated values
- Magnetization: 4.8 μB/cell
- Mass density: 4.35 g/cm³

=====

Which of them is the most stable? Correct choice: three).

=====

one) The following is a PBE-GGA calculation of a relaxed structure of Ca2CrRh, from Alexandria via LeMat-Bulk.

abc: 3.3953 3.3953 8.5075
angles: 90.00 90.00 90.00
Last column: magnetic moment on the atom in μB.
Atoms (fractional coordinates):
Cr  0.0000  0.0000  0.5711  3.13
Ca  0.0000  0.0000  0.9261  0.02
Ca  0.5000  0.5000  0.3141  0.01
Rh  0.5000  0.5000  0.6887  0.18

Calculated values
- Magnetization: 3.7 μB/cell
- Mass density: 3.98 g/cm³

=====

two) The following is a PBE-GGA calculation of a relaxed structure of Ca2CrRh, from Alexandria via LeMat-Bulk.

abc: 4.9599 4.9599 4.9599
angles: 60.00 60.00 60.00
Last column: magnetic moment on the atom in μB.
Atoms (fractional coordinates):
Ca  0.2500  0.2500  0.2500  0.07
Ca  0.0000  0.0000  0.0000  -0.01
Cr  0.5000  0.5000  0.5000  3.74
Rh  0.7500  0.7500  0.7500  0.20

Calculated values
- Magnetization: 4.6 μB/cell
- Mass density: 4.52 g/cm³

=====

Which of them is the most stable? Correct choice: one).

=====

one) The following is a PBE-GGA calculation of a relaxed structure of CaCr2TcRh, from Alexandria via LeMat-Bulk.

abc: 4.5941 4.8855 4.5941
angles: 90.00 90.00 90.00
Last column: magnetic moment on the atom in μB.
Atoms (fractional coordinates):
Cr  0.5000  0.0000  0.0000  2.83
Cr  0.0000  0.0000  0.5000  2.47
Rh  0.0000  0.5000  0.0000  -0.08
Ca  0.5000  0.5000  0.5000  0.00
Tc  0.0000  0.0000  0.0000  -0.70

Calculated values
- Magnetization: 4.8 μB/cell
- Mass density: 5.56 g/cm³

=====

two) The following is a PBE-GGA calculation of a relaxed structure of CaCr2TcRh, from Alexandria via LeMat-Bulk.

abc: 4.2362 4.4728 4.2362
angles: 90.00 90.00 90.00
Atoms (fractional coordinates):
Tc  0.0000  0.5000  0.0000
Rh  0.5000  0.5000  0.5000
Cr  0.5000  0.0000  0.0000
Cr  0.0000  0.0000  0.5000
Ca  0.0000  0.0000  0.0000

Calculated values
- Magnetization: 0.0 μB/cell
- Mass density: 7.14 g/cm³

=====

Which of them is the most stable? Correct choice: one).

=====

one) The following is a PBE-GGA calculation of a relaxed structure of CaCrRu3, from Alexandria via LeMat-Bulk.

abc: 4.5444 4.5444 4.5444
angles: 90.00 90.00 90.00
Last column: magnetic moment on the atom in μB.
Atoms (fractional coordinates):
Ru  0.0000  0.0000  0.5000  0.01
Ru  0.0000  0.5000  0.0000  0.07
Ru  0.5000  0.0000  0.0000  0.05
Cr  0.5000  0.5000  0.5000  -0.12
Ca  0.0000  0.0000  0.0000  0.00

Calculated values
- Magnetization: 0.0 μB/cell
- Mass density: 6.99 g/cm³

=====

two) The following is a PBE-GGA calculation of a relaxed structure of CaCrRu3, from Alexandria via LeMat-Bulk.

abc: 4.5049 4.5049 4.5049
angles: 90.00 90.00 90.00
Atoms (fractional coordinates):
Ru  0.0000  0.5000  0.0000
Ru  0.0000  0.0000  0.5000
Ru  0.5000  0.0000  0.0000
Cr  0.0000  0.0000  0.0000
Ca  0.5000  0.5000  0.5000

Calculated values
- Magnetization: 0.0 μB/cell
- Mass density: 7.18 g/cm³

=====

Which of them is the most stable? Correct choice: two).